[1]
Here is a relaxed structure of Ba3SN from the Alexandria database. Energies are from PBEsol.

a = 5.360 Å, b = 5.360 Å, c = 5.360 Å
α = 90.00°, β = 90.00°, γ = 90.00°
Element x y z (fractional)
Ba (0.000, 0.000, 0.500)
Ba (0.000, 0.500, 0.000)
Ba (0.500, 0.000, 0.000)
S (0.500, 0.500, 0.500)
N (0.000, 0.000, 0.000)

Volume, Å³ per cell: 154
Symmetry: Pm-3m, No. 221
Calculated total energy, eV/atom: -4.6256
DOS(E_F), states/eV/f.u.: 2.29

=====

[2]
Here is a relaxed structure of BaSnS2N from the Alexandria database. Energies are from PBEsol.

a = 5.661 Å, b = 5.661 Å, c = 4.625 Å
α = 90.00°, β = 90.00°, γ = 90.00°
Element x y z (fractional)
Ba (0.000, 0.000, 0.000)
Sn (0.500, 0.500, 0.500)
S (0.000, 0.500, 0.000)
S (0.500, 0.000, 0.000)
N (0.000, 0.000, 0.500)

Volume, Å³ per cell: 148
Symmetry: P4/mmm, No. 123
Calculated total energy, eV/atom: -3.9259
DOS(E_F), states/eV/f.u.: 3.25

=====

[3]
Here is a relaxed structure of BaSrS2N from the Alexandria database. Energies are from PBEsol.

a = 5.501 Å, b = 5.501 Å, c = 4.733 Å
α = 90.00°, β = 90.00°, γ = 90.00°
Element x y z (fractional)
Ba (0.000, 0.000, 0.000)
Sr (0.500, 0.500, 0.500)
S (0.000, 0.500, 0.500)
S (0.500, 0.000, 0.500)
N (0.500, 0.500, 0.000)

Volume, Å³ per cell: 143
Symmetry: P4/mmm, No. 123
Calculated total energy, eV/atom: -4.6714
DOS(E_F), states/eV/f.u.: 4.43

=====

[4]
Here is a relaxed structure of BaTcS2N from the Alexandria database. Energies are from PBEsol.

a = 5.586 Å, b = 5.586 Å, c = 4.445 Å
α = 90.00°, β = 90.00°, γ = 90.00°
Element x y z (fractional)
Ba (0.000, 0.000, 0.000)
Tc (0.500, 0.500, 0.500)
S (0.000, 0.500, 0.000)
S (0.500, 0.000, 0.000)
N (0.000, 0.000, 0.500)

Volume, Å³ per cell: 139
Symmetry: P4/mmm, No. 123
Calculated total energy, eV/atom: -4.3306
DOS(E_F), states/eV/f.u.: 4.11

=====

[5]
Here is a relaxed structure of BaTcSN2 from the Alexandria database. Energies are from PBEsol.

a = 4.271 Å, b = 4.271 Å, c = 6.089 Å
α = 90.00°, β = 90.00°, γ = 90.00°
Element x y z (fractional)
Ba (0.000, 0.000, 0.000)
Tc (0.500, 0.500, 0.500)
S (0.000, 0.000, 0.500)
N (0.000, 0.500, 0.000)
N (0.500, 0.000, 0.000)

Volume, Å³ per cell: 111
Symmetry: P4/mmm, No. 123
Calculated total energy, eV/atom: -4.7374
DOS(E_F), states/eV/f.u.: 3.70

=====

[6]
Here is a relaxed structure of Ba3SbN from the Alexandria database. Energies are from PBEsol.

a = 5.479 Å, b = 5.479 Å, c = 5.479 Å
α = 90.00°, β = 90.00°, γ = 90.00°
Element x y z (fractional)
Ba (0.000, 0.000, 0.500)
Ba (0.000, 0.500, 0.000)
Ba (0.500, 0.000, 0.000)
Sb (0.500, 0.500, 0.500)
N (0.000, 0.000, 0.000)

Volume, Å³ per cell: 164
Symmetry: Pm-3m, No. 221
Calculated total energy, eV/atom: -4.7240
DOS(E_F), states/eV/f.u.: 1.02

=====

[7]
Here is a relaxed structure of BaScSeN2 from the Alexandria database. Energies are from PBEsol.

a = 4.422 Å, b = 4.422 Å, c = 5.146 Å
α = 90.00°, β = 90.00°, γ = 90.00°
Element x y z (fractional)
Ba (0.000, 0.000, 0.000)
Sc (0.500, 0.500, 0.500)
Se (0.500, 0.500, 0.000)
N (0.000, 0.500, 0.500)
N (0.500, 0.000, 0.500)

Volume, Å³ per cell: 101
Symmetry: P4/mmm, No. 123
Calculated total energy, eV/atom: -6.3653
DOS(E_F), states/eV/f.u.: 2.09

=====

[8]
Here is a relaxed structure of BaSe2N from the Alexandria database. Energies are from PBEsol.

a = 5.829 Å, b = 5.829 Å, c = 5.829 Å
α = 45.25°, β = 45.25°, γ = 45.25°
Element x y z (fractional)
Ba (0.000, 0.000, 0.000)
Se (0.195, 0.195, 0.195)
Se (0.805, 0.805, 0.805)
N (0.500, 0.500, 0.500)

Volume, Å³ per cell: 91
Symmetry: R-3m, No. 166
Calculated total energy, eV/atom: -4.3445
DOS(E_F), states/eV/f.u.: 1.87

=====

Question: The highest DOS(E_F) belongs to which entry?
Answer: BaSrS2N

=====

Question: What is the DOS(E_F) in the seventh record?
Answer: 2.09 states/eV/f.u.

=====

Question: Which formula does entry 3 have?
Answer: BaSrS2N